No. 1
An optimized crystal structure of YMg3Ag2. Source: Alexandria, functional PBE-GGA.

The structure belongs to space group C2/m (No. 12); the cell edges are 16.192, 4.484 and 8.189 Å and the angles 90.00°, 113.05° and 90.00°. The asymmetric unit holds Y at (0.119, 0.000, 0.158), Mg at (0.053, 0.000, 0.692), Mg at (0.150, 0.500, 0.493), Mg at (0.187, 0.500, 0.901), Ag at (0.007, 0.500, 0.835) and Ag at (0.233, 0.000, 0.715).

For the density, the calculation gives 4.584 g cm⁻³. Its total energy is -0.1103 hartree per atom. The formation energy is -177 meV/atom. Its total magnetization is 0.000 μB per atom.

=====

No. 2
An optimized crystal structure of DyYMnPd. Source: Alexandria, functional PBE-GGA.

The structure belongs to space group F-43m (No. 216); the cell edges are 7.061, 7.061 and 7.061 Å and the angles 90.00°, 90.00° and 90.00°. The asymmetric unit holds Dy at (0.000, 0.000, 0.000), Y at (0.000, 0.000, 0.500), Mn at (0.250, 0.250, 0.750) and Pd at (0.250, 0.250, 0.250).

For the density, the calculation gives 7.789 g cm⁻³. Its total energy is -0.2433 hartree per atom. The formation energy is -263 meV/atom. Its total magnetization is 0.841 μB per atom.

=====

No. 3
An optimized crystal structure of CuHg2Te. Source: Alexandria, functional PBE-GGA.

The structure belongs to space group Cm (No. 8); the cell edges are 7.284, 4.232 and 7.120 Å and the angles 90.00°, 109.61° and 90.00°. The asymmetric unit holds Cu at (0.000, 0.000, 0.000), Hg at (0.008, 0.500, 0.526), Hg at (0.251, 0.500, 0.252) and Te at (0.293, 0.000, 0.874).

For the density, the calculation gives 9.515 g cm⁻³. Its total energy is -0.0711 hartree per atom. The uncorrected formation energy is 26 meV/atom. Its total magnetization is 0.000 μB per atom.

=====

No. 4
An optimized crystal structure of ZrInAg2. Source: Alexandria, functional PBE-GGA.

The structure belongs to space group Pm (No. 6); the cell edges are 2.976, 4.553 and 6.180 Å and the angles 90.00°, 103.76° and 90.00°. The asymmetric unit holds Zr at (0.000, 0.000, 0.000), In at (0.383, 0.500, 0.763), Ag at (0.247, 0.000, 0.490) and Ag at (0.639, 0.500, 0.275).

For the density, the calculation gives 8.612 g cm⁻³. Its total energy is -0.1582 hartree per atom. The formation energy is -57 meV/atom. Its total magnetization is 0.000 μB per atom.

=====

No. 5
An optimized crystal structure of Cs2YWI6. Source: Alexandria, functional PBE-GGA.

The structure belongs to space group Fm-3m (No. 225); the cell edges are 11.704, 11.704 and 11.704 Å and the angles 90.00°, 90.00° and 90.00°. The asymmetric unit holds Cs at (0.250, 0.250, 0.250), Y at (0.000, 0.000, 0.000), W at (0.000, 0.000, 0.500) and I at (0.000, 0.000, 0.260).

For the density, the calculation gives 5.385 g cm⁻³. Its total energy is -0.1370 hartree per atom. The uncorrected formation energy is -685 meV/atom. Its total magnetization is 0.100 μB per atom.

=====

No. 6
An optimized crystal structure of RbNp3Tl2O12. Source: Alexandria, functional PBE-GGA.

The structure belongs to space group R-3m (No. 166, hexagonal axes); the cell edges are 8.0526, 8.0526 and 18.3405 Å and the angles 90.00°, 90.00° and 120.00°. The asymmetric unit holds Rb at (0.0000, 0.0000, 0.0000), Np at (0.0000, 0.5000, 0.5000), Tl at (0.0000, 0.0000, 0.3744), O at (0.0590, 0.5295, 0.4013) and O at (0.0831, 0.5415, 0.8143).

For the density, the calculation gives 6.758 g cm⁻³. Its total energy is -0.2944 hartree per atom. The uncorrected formation energy is -2233 meV/atom. Its total magnetization is 0.000 μB per atom.